1.
Ac3La4ErTe8 (PBE-GGA, relaxed); V = 34.7 Å³/atom; SG = R-3m (166); uncorrected energy = -0.19657 Ha/atom
1.0
-6.270 2.497 -6.298
-5.180 -7.282 2.270
2.650 5.992 6.502
Ac La Er Te
3 4 1 8
direct
0.500 0.500 0.000
0.500 0.500 0.500
0.000 0.500 0.500
0.500 0.000 0.000
0.500 0.000 0.500
0.000 0.000 0.000
0.000 0.000 0.500
0.000 0.500 0.000
0.242 0.748 0.006
0.242 0.748 0.484
0.247 0.240 0.493
0.764 0.748 0.006
0.236 0.252 0.994
0.753 0.760 0.507
0.758 0.252 0.516
0.758 0.252 0.994

---

2.
AcLa2ErTe5 (PBE-GGA, relaxed); V = 40.6 Å³/atom; SG = P4/mmm (123); uncorrected energy = -0.17906 Ha/atom
1.0
5.479 0.000 0.000
0.000 5.479 0.000
0.000 0.000 12.182
Ac La Er Te
1 2 1 5
direct
0.000 0.000 0.000
0.500 0.500 0.340
0.500 0.500 0.660
0.000 0.000 0.500
0.000 0.500 0.500
0.500 0.000 0.500
0.000 0.000 0.744
0.000 0.000 0.256
0.500 0.500 0.000

---

3.
AcLaErTh (PBE-GGA, relaxed); formation energy = 0.243 eV per atom; V = 36.2 Å³/atom; SG = F-43m (216)
1.0
-5.212 -2.712 -0.473
-1.416 -4.335 3.734
-4.158 0.871 4.086
Ac Er Th La
1 1 1 1
direct
0.750 0.750 0.750
0.500 0.500 0.500
0.000 0.000 0.000
0.250 0.250 0.250

---

4.
AcLa4Er2Th (PBE-GGA, relaxed); formation energy = 0.049 eV per atom; V = 35.6 Å³/atom; SG = C2/m (12)
1.0
-3.710 3.517 -0.862
-2.788 -0.533 -5.769
-8.007 -3.569 4.309
Ac La Er Th
1 4 2 1
direct
0.500 0.500 0.500
0.119 0.127 0.635
0.371 0.376 0.883
0.881 0.873 0.365
0.629 0.624 0.117
0.735 0.768 0.761
0.265 0.232 0.239
0.000 0.000 0.000